## Te4MoBr (PBE)

Data for a geometry-optimized Te4MoBr structure.

Unit cell a=6.2998 b=6.2998 c=6.2998 alpha=60.00 beta=60.00 gamma=60.00
Each line ends with the local moment (μB).
Element x y z (fractional)
Te 0.3748 0.8757 0.3748  -0.14
Te 0.3748 0.3748 0.3748  -0.14
Mo 0.0000 0.0000 0.0000  3.63
Br 0.7500 0.7500 0.7500  -0.03
Te 0.8757 0.3748 0.3748  -0.14
Te 0.3748 0.3748 0.8757  -0.14

Calculated values
For the spin magnetization, the calculation gives 3.38 μB/cell. The value obtained for the energy above the most stable polymorph in this dataset is 1049.2 meV per atom.

***

## TeMo3Br7 (PBE)

Data for a geometry-optimized TeMo3Br7 structure.

Unit cell a=7.1384 b=7.0855 c=8.1677 alpha=79.67 beta=64.09 gamma=59.75
Each line ends with the local moment (μB).
Element x y z (fractional)
Mo 0.6281 0.7213 0.6109  0.81
Br 0.7978 0.1032 0.7976  0.01
Mo 0.0350 0.3209 0.6090  -0.79
Br 0.8657 0.8920 0.3766  0.03
Mo 0.0397 0.7213 0.6109  0.81
Te 0.7489 0.6083 0.8940  -0.02
Br 0.3015 0.1032 0.7976  0.01
Br 0.3581 0.4047 0.3730  0.00
Br 0.3328 0.9084 0.4261  -0.01
Br 0.3026 0.5946 0.8001  0.02
Br 0.8642 0.4047 0.3730  0.00

Calculated values
For the spin magnetization, the calculation gives 0.97 μB/cell.

***

## TeMo4Br (PBE)

Data for a geometry-optimized TeMo4Br structure.

Unit cell a=5.4087 b=5.4087 c=5.4087 alpha=60.00 beta=60.00 gamma=60.00
Element x y z (fractional)
Br 0.0000 0.0000 0.0000
Te 0.7500 0.7500 0.7500
Mo 0.3735 0.3735 0.3735
Mo 0.3735 0.3735 0.8795
Mo 0.8795 0.3735 0.3735
Mo 0.3735 0.8795 0.3735

Calculated values
For the spin magnetization, the calculation gives 0.00 μB/cell.

***

## Te3MoBr (PBE)

Data for a geometry-optimized Te3MoBr structure.

Unit cell a=5.5184 b=5.5184 c=5.5184 alpha=90.00 beta=90.00 gamma=90.00
Each line ends with the local moment (μB).
Element x y z (fractional)
Te 0.0000 0.5000 0.0000  -0.19
Te 0.0000 0.0000 0.5000  -0.15
Te 0.5000 0.0000 0.0000  -0.13
Br 0.0000 0.0000 0.0000  -0.01
Mo 0.5000 0.5000 0.5000  3.69

Calculated values
For the spin magnetization, the calculation gives 3.67 μB/cell. The value obtained for the energy above the most stable polymorph in this dataset is 1413.3 meV per atom.

***

## Te4MoBr (PBE)

Data for a geometry-optimized Te4MoBr structure.

Unit cell a=6.9051 b=8.3585 c=8.3529 alpha=115.25 beta=102.88 gamma=100.98
Element x y z (fractional)
Te 0.6145 0.1450 0.3026
Te 0.3855 0.8550 0.6974
Te 0.1232 0.3207 0.1826
Mo 0.7817 0.9999 0.0005
Te 0.5377 0.2264 0.9445
Mo 0.2183 0.0001 0.9995
Te 0.4623 0.7736 0.0555
Te 0.8768 0.6793 0.8174
Br 0.2528 0.4077 0.5831
Te 0.9656 0.1075 0.7841
Br 0.7472 0.5923 0.4169
Te 0.0344 0.8925 0.2159

Calculated values
For the spin magnetization, the calculation gives 0.00 μB/cell. The value obtained for the energy above the most stable polymorph in this dataset is 0.0 meV per atom.

***

## TeMoBr (PBE)

Data for a geometry-optimized TeMoBr structure.

Unit cell a=4.6589 b=4.6589 c=4.6589 alpha=60.00 beta=60.00 gamma=60.00
Each line ends with the local moment (μB).
Element x y z (fractional)
Te 0.0000 0.0000 0.0000  -0.04
Mo 0.2500 0.2500 0.2500  0.90
Br 0.5000 0.5000 0.5000  -0.01

Calculated values
For the spin magnetization, the calculation gives 1.00 μB/cell. The value obtained for the energy above the most stable polymorph in this dataset is 516.8 meV per atom.

***

## TeMoBr (PBE)

Data for a geometry-optimized TeMoBr structure.

Unit cell a=3.4909 b=9.3577 c=5.0577 alpha=90.00 beta=90.00 gamma=103.80
Each line ends with the local moment (μB).
Element x y z (fractional)
Te 0.2708 0.6449 0.6281  -0.03
Br 0.5602 0.3782 0.1280  0.02
Te 0.7707 0.1449 0.6281  -0.03
Mo 0.1396 0.9303 0.6280  0.46
Br 0.0602 0.8782 0.1281  0.02
Mo 0.6397 0.4303 0.6280  0.46

Calculated values
For the spin magnetization, the calculation gives 1.00 μB/cell. The value obtained for the energy above the most stable polymorph in this dataset is 408.9 meV per atom.

***

## TeMoBr3 (PBE)

Data for a geometry-optimized TeMoBr3 structure.

Unit cell a=5.1027 b=5.1027 c=5.1027 alpha=90.00 beta=90.00 gamma=90.00
Element x y z (fractional)
Br 0.5000 0.0000 0.0000
Br 0.0000 0.5000 0.0000
Br 0.0000 0.0000 0.5000
Mo 0.0000 0.0000 0.0000
Te 0.5000 0.5000 0.5000

Calculated values
For the spin magnetization, the calculation gives 0.00 μB/cell. The value obtained for the energy above the most stable polymorph in this dataset is 0.0 meV per atom.

***

## Th4MoBr5 (PBE)

Data for a geometry-optimized Th4MoBr5 structure.

Unit cell a=3.7931 b=9.5291 c=9.1780 alpha=98.40 beta=101.93 gamma=90.00
Element x y z (fractional)
Br 0.5000 0.5000 0.0000
Th 0.0033 0.2218 0.0067
Br 0.8344 0.2213 0.6687
Th 0.3350 0.9622 0.6700
Th 0.9967 0.7782 0.9933
Th 0.6650 0.0378 0.3300
Br 0.1656 0.7787 0.3313
Mo 0.5000 0.0000 0.0000
Br 0.8300 0.7013 0.6601
Br 0.1700 0.2987 0.3399

Calculated values
For the spin magnetization, the calculation gives 0.00 μB/cell.

***

## TiMo3Br (PBE)

Data for a geometry-optimized TiMo3Br structure.

Unit cell a=4.6768 b=4.6768 c=4.6768 alpha=90.00 beta=90.00 gamma=90.00
Element x y z (fractional)
Mo 0.0000 0.5000 0.0000
Mo 0.5000 0.0000 0.0000
Ti 0.0000 0.0000 0.0000
Mo 0.0000 0.0000 0.5000
Br 0.5000 0.5000 0.5000

Calculated values
For the spin magnetization, the calculation gives 0.00 μB/cell.

***

## TiMoBr3 (PBE)

Data for a geometry-optimized TiMoBr3 structure.

Unit cell a=5.1505 b=5.1505 c=5.1505 alpha=90.00 beta=90.00 gamma=90.00
Each line ends with the local moment (μB).
Element x y z (fractional)
Ti 0.0000 0.0000 0.0000  -0.09
Br 0.0000 0.0000 0.5000  0.01
Br 0.5000 0.0000 0.0000  0.01
Mo 0.5000 0.5000 0.5000  4.09
Br 0.0000 0.5000 0.0000  0.02

Calculated values
For the spin magnetization, the calculation gives 5.12 μB/cell. The value obtained for the energy above the most stable polymorph in this dataset is 0.0 meV per atom.

***

## Ti3MoBr (PBE)

Data for a geometry-optimized Ti3MoBr structure.

Unit cell a=4.8384 b=4.8384 c=4.8384 alpha=90.00 beta=90.00 gamma=90.00
Each line ends with the local moment (μB).
Element x y z (fractional)
Ti 0.0000 0.5000 0.0000  0.28
Ti 0.5000 0.0000 0.0000  0.42
Ti 0.0000 0.0000 0.5000  0.24
Mo 0.0000 0.0000 0.0000  -0.07
Br 0.5000 0.5000 0.5000  -0.01

Calculated values
For the spin magnetization, the calculation gives 1.17 μB/cell. The value obtained for the energy above the most stable polymorph in this dataset is 43.0 meV per atom.

***

## Ti3MoBr (PBE)

Data for a geometry-optimized Ti3MoBr structure.

Unit cell a=4.5869 b=4.5869 c=4.5869 alpha=90.00 beta=90.00 gamma=90.00
Each line ends with the local moment (μB).
Element x y z (fractional)
Mo 0.5000 0.5000 0.5000  1.17
Ti 0.0000 0.0000 0.5000  -0.15
Br 0.0000 0.0000 0.0000  0.00
Ti 0.0000 0.5000 0.0000  -0.11
Ti 0.5000 0.0000 0.0000  -0.14

Calculated values
For the spin magnetization, the calculation gives 0.89 μB/cell. The value obtained for the energy above the most stable polymorph in this dataset is 0.0 meV per atom.

***

## TiMoBr (PBE)

Data for a geometry-optimized TiMoBr structure.

Unit cell a=3.2141 b=3.2457 c=14.0089 alpha=103.58 beta=91.02 gamma=59.68
Element x y z (fractional)
Mo 0.3807 0.2191 0.2882
Mo 0.1154 0.7114 0.1498
Ti 0.6443 0.7354 0.4342
Br 0.8911 0.2488 0.5692
Ti 0.3405 0.9431 0.9962
Br 0.7658 0.0946 0.8621

Calculated values
For the spin magnetization, the calculation gives 0.00 μB/cell.

***

Calculated formation energy (no corrections) in order - 0.796 -0.510 0.944 1.402 -0.253 0.310 0.202 0.341 -0.995 1.821 0.275 0.816 0.773 -0.357 eV/atom